A crystal of Ce3NiGe2 relaxed with PBEsol, computed with meta-GGA SCAN.

The structure belongs to space group Pnma (No. 62); the cell edges are 11.998, 4.052 and 10.144 Å and the angles 90.00°, 90.00° and 90.00°. The distinct sites, in fractional coordinates, are Ce at (0.042, 0.250, 0.089), Ce at (0.130, 0.750, 0.575), Ce at (0.218, 0.250, 0.755), Ni at (0.129, 0.250, 0.348), Ge at (0.029, 0.750, 0.304) and Ge at (0.202, 0.750, 0.973).

For the calculated volume, the calculation gives 493 Å³/cell. Its density of states at the Fermi level is 1.196 states/eV per atom. Its total DFT energy (no corrections) is -769.07 eV for the cell shown. The value obtained for the calculated formation energy is -4.228 eV/f.u.